# BaMn2Ni PBE-GGA optimized geometry
# **VASP energy**: -6.0024 eV/atom
# **Crystal system**: tetragonal
# **D(E_F)**: 0.933 states/eV per atom
# **Offset from the most stable computed form**: 251 meV per atom
data_BaMn2Ni
_chemical_formula_sum 'Ba1 Mn2 Ni1'
_cell_length_a 3.3927
_cell_length_b 3.3927
_cell_length_c 7.3950
_cell_angle_alpha 90.00
_cell_angle_beta 90.00
_cell_angle_gamma 90.00
_symmetry_space_group_name_H-M 'P 4 m m'
_symmetry_Int_Tables_number 99
_symmetry_space_group_name_Hall 'P 4 -2'
loop_
_atom_site_label
_atom_site_type_symbol
_atom_site_fract_x
_atom_site_fract_y
_atom_site_fract_z
Ba1 Ba 0.0000 0.0000 0.0000
Mn1 Mn 0.0000 0.0000 0.5575
Mn2 Mn 0.5000 0.5000 0.3475
Ni1 Ni 0.5000 0.5000 0.6713